Entry from Alexandria via LeMat-Bulk: crystalline Tl2Au2Br at its relaxed geometry (PBE-GGA).

The structure in POSCAR format:
```
Tl2Au2Br
1.0
8.1421 0.0000 0.0000
0.0000 8.1421 0.0000
0.0000 0.0000 3.9426
Tl Au Br
4 4 2
Direct
0.1834 0.3166 0.0000
0.3166 0.8166 0.0000
0.6834 0.1834 0.0000
0.8166 0.6834 0.0000
0.1177 0.6177 0.5000
0.3823 0.1177 0.5000
0.6177 0.8823 0.5000
0.8823 0.3823 0.5000
0.0000 0.0000 0.5000
0.5000 0.5000 0.5000
```

Results
Electronic total energy in eV per atom: -2.71
ΔE_f (raw) in eV per atom: -0.11
Density in g cm⁻³: 11.21